# PmNd2Cd

A geometry-optimized PmNd2Cd structure (PBE, Alexandria).

Unit cell a=3.6694 b=3.6694 c=11.3568 alpha=80.70 beta=80.70 gamma=60.00
Last column: nearest neighbours and their distance in Å.
Element x y z (fractional)
Nd (0.7443, 0.7443, 0.7670)  3 Cd 3.35, 3 Pm 3.66, 6 Nd 3.67
Pm (0.5000, 0.5000, 0.5000)  6 Nd 3.66, 6 Pm 3.67
Nd (0.2557, 0.2557, 0.2330)  3 Cd 3.35, 3 Pm 3.66, 6 Nd 3.67
Cd (0.0000, 0.0000, 0.0000)  6 Nd 3.35, 6 Cd 3.67

relative energy among the computed polymorphs	82.2	meV/atom
energy of formation	-66	meV/atom

# GdPuAgRu

A geometry-optimized GdPuAgRu structure (PBE, Alexandria).

Unit cell a=4.9883 b=4.9883 c=4.9883 alpha=60.00 beta=60.00 gamma=60.00
Last column: nearest neighbours and their distance in Å.
Element x y z (fractional)
Pu (0.5000, 0.5000, 0.5000)  4 Ru 3.05, 4 Ag 3.05
Ru (0.7500, 0.7500, 0.7500)  4 Gd 3.05, 4 Pu 3.05
Gd (0.0000, 0.0000, 0.0000)  4 Ru 3.05, 4 Ag 3.05
Ag (0.2500, 0.2500, 0.2500)  4 Pu 3.05, 4 Gd 3.05

energy of formation	-87	meV/atom

# LiMg2Tc

A geometry-optimized LiMg2Tc structure (PBE, Alexandria).

Unit cell a=2.7478 b=2.7478 c=9.2437 alpha=90.00 beta=90.00 gamma=90.00
Last column: nearest neighbours and their distance in Å.
Element x y z (fractional)
Mg (0.5000, 0.5000, 0.2746)  4 Mg 2.75, 4 Tc 2.87
Li (0.5000, 0.5000, 0.7295)  4 Li 2.75, 4 Tc 2.86
Tc (0.0000, 0.0000, 0.5030)  4 Tc 2.75, 4 Li 2.86, 4 Mg 2.87
Mg (0.0000, 0.0000, 0.9929)  4 Mg 2.75

relative energy among the computed polymorphs	78.9	meV/atom
energy of formation	238	meV/atom

# VCdPS2

A geometry-optimized VCdPS2 structure (PBE, Alexandria).

Unit cell a=4.5194 b=4.5194 c=4.8236 alpha=90.00 beta=90.00 gamma=90.00
Last column: nearest neighbours and their distance in Å.
Element x y z (fractional)
S (0.0000, 0.5000, 0.0000)  2 V 2.26
P (0.0000, 0.0000, 0.5000)  2 V 2.41
V (0.0000, 0.0000, 0.0000)  4 S 2.26, 2 P 2.41
Cd (0.5000, 0.5000, 0.5000)  4 P 3.20, 8 S 3.31
S (0.5000, 0.0000, 0.0000)  2 V 2.26

relative energy among the computed polymorphs	0.0	meV/atom
energy relative to the elements, uncorrected	-9	meV per atom

# Sr3SnN

A geometry-optimized Sr3SnN structure (PBE, Alexandria).

Unit cell a=4.7893 b=4.7893 c=8.7581 alpha=90.00 beta=90.00 gamma=90.00
Last column: nearest neighbours and their distance in Å.
Element x y z (fractional)
N (0.5000, 0.5000, 0.7225)  4 Sr 2.58
Sr (0.5000, 0.0000, 0.6142)  2 N 2.58
Sn (0.0000, 0.0000, 0.3351)  5 Sr 3.13-3.42
Sr (0.0000, 0.0000, 0.9777)  1 Sn 3.13
Sr (0.0000, 0.5000, 0.6142)  2 N 2.58

energy relative to the elements, uncorrected	138	meV per atom

# Sr2AlGa4Ag3

A geometry-optimized Sr2AlGa4Ag3 structure (PBE, Alexandria).

Unit cell a=4.3840 b=4.3840 c=11.5026 alpha=90.00 beta=90.00 gamma=90.00
Last column: nearest neighbours and their distance in Å.
Element x y z (fractional)
Sr (0.0000, 0.5000, 0.7495)  6 Ag 3.36-3.61, 8 Ga 3.37-3.62, 2 Al 3.61
Ga (0.0000, 0.5000, 0.3655)  3 Ag 2.63-2.68, 2 Al 2.68
Ag (0.0000, 0.5000, 0.1370)  5 Ga 2.63-2.70
Sr (0.5000, 0.0000, 0.2505)  6 Ag 3.36-3.61, 8 Ga 3.37-3.62, 2 Al 3.61
Ga (0.5000, 0.0000, 0.6345)  3 Ag 2.63-2.68, 2 Al 2.68
Ga (0.5000, 0.5000, 0.0000)  4 Ag 2.70
Al (0.5000, 0.5000, 0.5000)  4 Ga 2.68
Ga (0.0000, 0.0000, 0.0000)  4 Ag 2.70
Ag (0.0000, 0.0000, 0.5000)  4 Ga 2.68
Ag (0.5000, 0.0000, 0.8630)  5 Ga 2.63-2.70

energy of formation	-326	meV/atom

What did the fifth record say?
# Sr3SnN

A geometry-optimized Sr3SnN structure (PBE, Alexandria).

Unit cell a=4.7893 b=4.7893 c=8.7581 alpha=90.00 beta=90.00 gamma=90.00
Last column: nearest neighbours and their distance in Å.
Element x y z (fractional)
N (0.5000, 0.5000, 0.7225)  4 Sr 2.58
Sr (0.5000, 0.0000, 0.6142)  2 N 2.58
Sn (0.0000, 0.0000, 0.3351)  5 Sr 3.13-3.42
Sr (0.0000, 0.0000, 0.9777)  1 Sn 3.13
Sr (0.0000, 0.5000, 0.6142)  2 N 2.58

energy relative to the elements, uncorrected	138	meV per atom

> Which formula does entry 6 have?

Sr2AlGa4Ag3